Compound: TbCl2F
Source: the Alexandria database
Functional: GGA-PBEsol
Structure: relaxed

Results
Energy: -5.6591 eV per atom
Formation energy without anion corrections: -2921 meV/atom
N(E_F): 0.00 states/eV/f.u.

Geometry as CIF:
```
data_TbCl2F
_space_group_name_H-M_alt 'C 1 2/c 1'
_space_group_IT_number 15
_cell_length_a 8.789
_cell_length_b 5.774
_cell_length_c 6.749
_cell_angle_alpha 90.00
_cell_angle_beta 109.76
_cell_angle_gamma 90.00
loop_
_space_group_symop_operation_xyz
'x,y,z'
'-x,-y,-z'
'-x,y,-z+1/2'
'x,-y,z+1/2'
'x+1/2,y+1/2,z'
'-x+1/2,-y+1/2,-z'
'-x+1/2,y+1/2,-z+1/2'
'x+1/2,-y+1/2,z+1/2'
loop_
_atom_site_label
_atom_site_type_symbol
_atom_site_fract_x
_atom_site_fract_y
_atom_site_fract_z
_atom_site_occupancy
Tb1 Tb 0.000 0.234 0.250 1
Cl1 Cl 0.190 0.471 0.607 1
F1 F 0.000 0.000 0.000 1
```



Compound: TcClF2
Source: the Alexandria database
Functional: GGA-PBEsol
Structure: relaxed

Results
Energy: -4.9355 eV per atom
Formation energy without anion corrections: -653 meV/atom
N(E_F): 3.54 states/eV/f.u.

Geometry as CIF:
```
data_TcClF2
_space_group_name_H-M_alt 'R -3 m'
_space_group_IT_number 166
_space_group_name_Hall '-R 3 2"'
_cell_length_a 2.7783
_cell_length_b 2.7783
_cell_length_c 27.6537
_cell_angle_alpha 90.00
_cell_angle_beta 90.00
_cell_angle_gamma 120.00
loop_
_atom_site_label
_atom_site_type_symbol
_atom_site_fract_x
_atom_site_fract_y
_atom_site_fract_z
_atom_site_occupancy
Tc1 Tc 0.0000 0.0000 0.0000 1
Cl1 Cl 0.0000 0.0000 0.5000 1
F1 F 0.0000 0.0000 0.3840 1
```



Compound: TiCl2F
Source: the Alexandria database
Functional: GGA-PBEsol
Structure: relaxed

Results
Energy: -4.0298 eV per atom
Formation energy without anion corrections: -463 meV/atom
N(E_F): 4.59 states/eV/f.u.

Geometry as CIF:
```
data_TiCl2F
_space_group_name_H-M_alt 'R -3 m'
_space_group_IT_number 166
_space_group_name_Hall '-R 3 2"'
_cell_length_a 3.4300
_cell_length_b 3.4300
_cell_length_c 23.2043
_cell_angle_alpha 90.00
_cell_angle_beta 90.00
_cell_angle_gamma 120.00
loop_
_atom_site_label
_atom_site_type_symbol
_atom_site_fract_x
_atom_site_fract_y
_atom_site_fract_z
_atom_site_occupancy
Ti1 Ti 0.0000 0.0000 0.0000 1
Cl1 Cl 0.0000 0.0000 0.0919 1
F1 F 0.0000 0.0000 0.5000 1
```



Compound: TlCl2F
Source: the Alexandria database
Functional: GGA-PBEsol
Structure: relaxed

Results
Energy: -2.1901 eV per atom
Polymorph energy (0 for the lowest one): 492.4 meV per atom
Formation energy without anion corrections: -47 meV/atom
N(E_F): 2.30 states/eV/f.u.

Geometry as CIF:
```
data_TlCl2F
_space_group_name_H-M_alt 'R -3 m'
_space_group_IT_number 166
_space_group_name_Hall '-R 3 2"'
_cell_length_a 3.8263
_cell_length_b 3.8263
_cell_length_c 23.5337
_cell_angle_alpha 90.00
_cell_angle_beta 90.00
_cell_angle_gamma 120.00
loop_
_atom_site_label
_atom_site_type_symbol
_atom_site_fract_x
_atom_site_fract_y
_atom_site_fract_z
_atom_site_occupancy
Tl1 Tl 0.0000 0.0000 0.0000 1
Cl1 Cl 0.0000 0.0000 0.0975 1
F1 F 0.0000 0.0000 0.5000 1
```



Compound: TlCl2F
Source: the Alexandria database
Functional: GGA-PBEsol
Structure: relaxed

Results
Energy: -2.6825 eV per atom
Polymorph energy (0 for the lowest one): 0.0 meV per atom
Formation energy without anion corrections: -539 meV/atom
N(E_F): 4.23 states/eV/f.u.

Geometry as CIF:
```
data_TlCl2F
_space_group_name_H-M_alt 'F m -3 m'
_space_group_IT_number 225
_space_group_name_Hall '-F 4 2 3'
_cell_length_a 6.504
_cell_length_b 6.504
_cell_length_c 6.504
_cell_angle_alpha 90.00
_cell_angle_beta 90.00
_cell_angle_gamma 90.00
loop_
_atom_site_label
_atom_site_type_symbol
_atom_site_fract_x
_atom_site_fract_y
_atom_site_fract_z
_atom_site_occupancy
Tl1 Tl 0.000 0.000 0.000 1
Cl1 Cl 0.250 0.250 0.250 1
F1 F 0.000 0.000 0.500 1
```



Compound: TlCl3F
Source: the Alexandria database
Functional: GGA-PBEsol
Structure: relaxed

Results
Energy: -2.2876 eV per atom
Formation energy without anion corrections: -171 meV/atom
N(E_F): 12.47 states/eV/f.u.

Geometry as CIF:
```
data_TlCl3F
_space_group_name_H-M_alt 'P m -3 m'
_space_group_IT_number 221
_space_group_name_Hall '-P 4 2 3'
_cell_length_a 5.146
_cell_length_b 5.146
_cell_length_c 5.146
_cell_angle_alpha 90.00
_cell_angle_beta 90.00
_cell_angle_gamma 90.00
loop_
_atom_site_label
_atom_site_type_symbol
_atom_site_fract_x
_atom_site_fract_y
_atom_site_fract_z
_atom_site_occupancy
Tl1 Tl 0.000 0.000 0.000 1
Cl1 Cl 0.000 0.000 0.500 1
F1 F 0.500 0.500 0.500 1
```



Compound: YCl3F
Source: the Alexandria database
Functional: GGA-PBEsol
Structure: relaxed

Results
Energy: -4.5174 eV per atom
Formation energy without anion corrections: -1563 meV/atom
N(E_F): 12.74 states/eV/f.u.

Geometry as CIF:
```
data_YCl3F
_space_group_name_H-M_alt 'P m -3 m'
_space_group_IT_number 221
_space_group_name_Hall '-P 4 2 3'
_cell_length_a 5.188
_cell_length_b 5.188
_cell_length_c 5.188
_cell_angle_alpha 90.00
_cell_angle_beta 90.00
_cell_angle_gamma 90.00
loop_
_atom_site_label
_atom_site_type_symbol
_atom_site_fract_x
_atom_site_fract_y
_atom_site_fract_z
_atom_site_occupancy
Y1 Y 0.000 0.000 0.000 1
Cl1 Cl 0.000 0.000 0.500 1
F1 F 0.500 0.500 0.500 1
```



Compound: FeCl2
Source: the Alexandria database
Functional: GGA-PBEsol
Structure: relaxed

Results
Energy: -4.4500 eV per atom
Formation energy without anion corrections: -124 meV/atom
N(E_F): 3.12 states/eV/f.u.

Geometry as CIF:
```
data_FeCl2
_space_group_name_H-M_alt 'P 63/m m c'
_space_group_IT_number 194
_space_group_name_Hall '-P 6c 2c'
_cell_length_a 3.9485
_cell_length_b 3.9485
_cell_length_c 8.6779
_cell_angle_alpha 90.00
_cell_angle_beta 90.00
_cell_angle_gamma 120.00
loop_
_atom_site_label
_atom_site_type_symbol
_atom_site_fract_x
_atom_site_fract_y
_atom_site_fract_z
_atom_site_occupancy
Fe1 Fe 0.3333 0.6667 0.2500 1
Cl1 Cl 0.0000 0.0000 0.0000 1
Cl2 Cl 0.3333 0.6667 0.7500 1
```